w.
Density functional theory data (GGA-PBEsol) for a relaxed structure of MnAgMo2.

Cell and atoms, written as POSCAR:
```
MnAgMo2
1.0
3.752 0.000 0.000
0.000 3.752 0.000
0.000 0.000 4.147
Mn Ag Mo
1 1 2
Direct
0.000 0.000 0.000
0.500 0.500 0.000
0.000 0.500 0.500
0.500 0.000 0.500
```

x.
Density functional theory data (GGA-PBEsol) for a relaxed structure of MnAgMo2.

Cell and atoms, written as POSCAR:
```
MnAgMo2
1.0
2.622 0.000 0.000
0.000 4.391 0.000
-0.605 0.000 5.109
Mn Ag Mo
1 1 2
Direct
0.000 0.000 0.000
0.073 0.500 0.724
0.461 0.000 0.471
0.670 0.500 0.209
```

Stability, highest: x

w.
Density functional theory data (GGA-PBEsol) for a relaxed structure of Mn2ReAg.

Cell and atoms, written as POSCAR:
```
Mn2ReAg
1.0
3.892 0.000 0.000
0.000 3.892 0.000
0.000 0.000 3.442
Mn Re Ag
2 1 1
Direct
0.000 0.500 0.000
0.500 0.000 0.000
0.000 0.000 0.500
0.500 0.500 0.500
```

x.
Density functional theory data (GGA-PBEsol) for a relaxed structure of Mn2ReAg.

Cell and atoms, written as POSCAR:
```
Mn2ReAg
1.0
1.551 -2.129 0.000
1.551 2.129 0.000
0.000 0.000 8.380
Mn Re Ag
2 1 1
Direct
0.000 0.000 0.236
0.000 0.000 0.764
0.500 0.500 0.000
0.500 0.500 0.500
```

y.
Density functional theory data (GGA-PBEsol) for a relaxed structure of Mn2ReAg.

Cell and atoms, written as POSCAR:
```
Mn2ReAg
1.0
2.781 0.000 0.000
0.000 2.781 0.000
0.000 0.000 7.225
Mn Re Ag
2 1 1
Direct
0.000 0.000 0.228
0.000 0.000 0.772
0.500 0.500 0.000
0.500 0.500 0.500
```

Stability, highest: y

w.
Density functional theory data (GGA-PBEsol) for a relaxed structure of MnRe2Ag.

Cell and atoms, written as POSCAR:
```
MnRe2Ag
1.0
4.535 -1.332 0.000
4.535 1.332 0.000
-0.850 0.000 4.728
Mn Re Ag
1 2 1
Direct
0.000 0.000 0.000
0.272 0.272 0.740
0.514 0.514 0.516
0.756 0.756 0.233
```

x.
Density functional theory data (GGA-PBEsol) for a relaxed structure of MnRe2Ag.

Cell and atoms, written as POSCAR:
```
MnRe2Ag
1.0
2.626 -4.435 0.000
2.626 4.435 0.000
-0.783 0.000 2.484
Mn Re Ag
1 2 1
Direct
0.000 0.000 0.000
0.000 0.500 0.500
0.500 0.000 0.500
0.500 0.500 0.000
```

Stability, highest: w

w.
Density functional theory data (GGA-PBEsol) for a relaxed structure of MnAg2Rh.

Cell and atoms, written as POSCAR:
```
MnAg2Rh
1.0
2.642 -4.709 0.000
2.642 4.709 0.000
-1.294 0.000 2.448
Mn Ag Rh
1 2 1
Direct
0.000 0.000 0.000
0.000 0.500 0.500
0.500 0.000 0.500
0.500 0.500 0.000
```

x.
Density functional theory data (GGA-PBEsol) for a relaxed structure of MnAg2Rh.

Cell and atoms, written as POSCAR:
```
MnAg2Rh
1.0
3.319 0.000 0.000
0.000 3.319 0.000
0.000 0.000 5.540
Mn Ag Rh
1 2 1
Direct
0.000 0.000 0.000
0.500 0.500 0.247
0.500 0.500 0.753
0.000 0.000 0.500
```

y.
Density functional theory data (GGA-PBEsol) for a relaxed structure of MnAg2Rh.

Cell and atoms, written as POSCAR:
```
MnAg2Rh
1.0
0.000 3.115 3.115
3.115 0.000 3.115
3.115 3.115 0.000
Mn Ag Rh
1 2 1
Direct
0.000 0.000 0.000
0.500 0.500 0.500
0.750 0.750 0.750
0.250 0.250 0.250
```

z.
Density functional theory data (GGA-PBEsol) for a relaxed structure of MnAg2Rh.

Cell and atoms, written as POSCAR:
```
MnAg2Rh
1.0
1.377 0.795 9.120
-1.377 0.795 9.120
0.000 -1.590 9.120
Mn Ag Rh
1 2 1
Direct
0.000 0.000 0.000
0.251 0.251 0.251
0.749 0.749 0.749
0.500 0.500 0.500
```

Stability, highest: y

w.
Density functional theory data (GGA-PBEsol) for a relaxed structure of MnAgRu2.

Cell and atoms, written as POSCAR:
```
MnAgRu2
1.0
3.774 0.000 0.000
0.000 3.774 0.000
0.000 0.000 3.861
Mn Ag Ru
1 1 2
Direct
0.000 0.000 0.000
0.500 0.500 0.000
0.000 0.500 0.500
0.500 0.000 0.500
```

x.
Density functional theory data (GGA-PBEsol) for a relaxed structure of MnAgRu2.

Cell and atoms, written as POSCAR:
```
MnAgRu2
1.0
2.709 0.000 0.000
0.000 2.709 0.000
0.000 0.000 7.681
Mn Ag Ru
1 1 2
Direct
0.000 0.000 0.000
0.500 0.500 0.738
0.000 0.000 0.461
0.500 0.500 0.238
```

Stability, highest: x

w.
Density functional theory data (GGA-PBEsol) for a relaxed structure of MnAgRu2.

Cell and atoms, written as POSCAR:
```
MnAgRu2
1.0
2.638 0.000 0.000
0.000 2.638 0.000
0.000 0.000 7.684
Mn Ag Ru
1 1 2
Direct
0.000 0.000 0.000
0.000 0.000 0.500
0.500 0.500 0.219
0.500 0.500 0.781
```

x.
Density functional theory data (GGA-PBEsol) for a relaxed structure of MnAgRu2.

Cell and atoms, written as POSCAR:
```
MnAgRu2
1.0
4.482 -1.351 0.000
4.482 1.351 0.000
-1.042 0.000 4.536
Mn Ag Ru
1 1 2
Direct
0.000 0.000 0.000
0.500 0.500 0.500
0.267 0.267 0.772
0.733 0.733 0.228
```

Stability, highest: w

w.
Density functional theory data (GGA-PBEsol) for a relaxed structure of MnAg2Ru.

Cell and atoms, written as POSCAR:
```
MnAg2Ru
1.0
3.759 0.000 0.000
0.000 3.759 0.000
0.000 0.000 4.196
Mn Ag Ru
1 2 1
Direct
0.000 0.000 0.000
0.000 0.500 0.500
0.500 0.000 0.500
0.500 0.500 0.000
```

x.
Density functional theory data (GGA-PBEsol) for a relaxed structure of MnAg2Ru.

Cell and atoms, written as POSCAR:
```
MnAg2Ru
1.0
2.651 -4.718 0.000
2.651 4.718 0.000
-1.101 0.000 2.411
Mn Ag Ru
1 2 1
Direct
0.000 0.000 0.000
0.000 0.500 0.500
0.500 0.000 0.500
0.500 0.500 0.000
```

y.
Density functional theory data (GGA-PBEsol) for a relaxed structure of MnAg2Ru.

Cell and atoms, written as POSCAR:
```
MnAg2Ru
1.0
1.472 -2.265 0.000
1.472 2.265 0.000
0.000 0.000 8.966
Mn Ag Ru
1 2 1
Direct
0.000 0.000 0.000
0.000 0.000 0.521
0.500 0.500 0.252
0.500 0.500 0.788
```

Stability, highest: y

w.
Density functional theory data (GGA-PBEsol) for a relaxed structure of MnSiAg2.

Cell and atoms, written as POSCAR:
```
MnSiAg2
1.0
2.764 0.000 0.000
0.000 4.685 0.000
-0.204 0.000 4.666
Mn Si Ag
1 1 2
Direct
0.000 0.000 0.000
0.500 0.000 0.500
0.273 0.500 0.749
0.727 0.500 0.251
```

x.
Density functional theory data (GGA-PBEsol) for a relaxed structure of MnSiAg2.

Cell and atoms, written as POSCAR:
```
MnSiAg2
1.0
4.688 -1.394 0.000
4.688 1.394 0.000
-0.802 0.000 4.583
Mn Si Ag
1 1 2
Direct
0.000 0.000 0.000
0.500 0.500 0.500
0.246 0.246 0.749
0.754 0.754 0.251
```

Stability, highest: x

w.
Density functional theory data (GGA-PBEsol) for a relaxed structure of MnSiAg2.

Cell and atoms, written as POSCAR:
```
MnSiAg2
1.0
3.799 0.000 0.000
0.000 3.799 0.000
0.000 0.000 4.143
Mn Si Ag
1 1 2
Direct
0.000 0.000 0.000
0.500 0.500 0.000
0.000 0.500 0.500
0.500 0.000 0.500
```

x.
Density functional theory data (GGA-PBEsol) for a relaxed structure of MnSiAg2.

Cell and atoms, written as POSCAR:
```
MnSiAg2
1.0
-1.447 2.300 4.479
1.447 -2.300 4.479
1.447 2.300 -4.479
Mn Si Ag
1 1 2
Direct
0.000 0.000 0.000
0.212 0.712 0.500
0.450 0.450 0.000
0.730 0.230 0.500
```

Stability, highest: w

w.
Density functional theory data (GGA-PBEsol) for a relaxed structure of TaMnAg.

Cell and atoms, written as POSCAR:
```
TaMnAg
1.0
-1.576 1.576 4.603
1.576 -1.576 4.603
1.576 1.576 -4.603
Ta Mn Ag
1 1 1
Direct
0.000 0.000 0.000
0.373 0.373 0.000
0.693 0.693 0.000
```

x.
Density functional theory data (GGA-PBEsol) for a relaxed structure of TaMnAg.

Cell and atoms, written as POSCAR:
```
TaMnAg
1.0
4.413 0.000 0.000
-2.206 3.821 0.000
0.000 0.000 2.637
Ta Mn Ag
1 1 1
Direct
0.000 0.000 0.000
0.667 0.333 0.271
0.333 0.667 0.603
```

Stability, highest: w

w.
Density functional theory data (GGA-PBEsol) for a relaxed structure of TaMnAg2.

Cell and atoms, written as POSCAR:
```
TaMnAg2
1.0
2.790 0.000 0.000
0.000 2.790 0.000
0.000 0.000 8.147
Ta Mn Ag
1 1 2
Direct
0.000 0.000 0.000
0.500 0.500 0.767
0.000 0.000 0.529
0.500 0.500 0.269
```

x.
Density functional theory data (GGA-PBEsol) for a relaxed structure of TaMnAg2.

Cell and atoms, written as POSCAR:
```
TaMnAg2
1.0
1.412 0.815 9.396
-1.412 0.815 9.396
0.000 -1.630 9.396
Ta Mn Ag
1 1 2
Direct
0.000 0.000 0.000
0.500 0.500 0.500
0.246 0.246 0.246
0.754 0.754 0.754
```

Stability, highest: w

w.
Density functional theory data (GGA-PBEsol) for a relaxed structure of MnTcAg2.

Cell and atoms, written as POSCAR:
```
MnTcAg2
1.0
1.532 -2.202 0.000
1.532 2.202 0.000
0.000 0.000 8.835
Mn Tc Ag
1 1 2
Direct
0.000 0.000 0.000
0.500 0.500 0.792
0.000 0.000 0.522
0.500 0.500 0.252
```

x.
Density functional theory data (GGA-PBEsol) for a relaxed structure of MnTcAg2.

Cell and atoms, written as POSCAR:
```
MnTcAg2
1.0
4.789 0.000 0.000
0.000 4.789 0.000
0.000 0.000 2.700
Mn Tc Ag
1 1 2
Direct
0.000 0.000 0.000
0.500 0.500 0.000
0.000 0.500 0.500
0.500 0.000 0.500
```

y.
Density functional theory data (GGA-PBEsol) for a relaxed structure of MnTcAg2.

Cell and atoms, written as POSCAR:
```
MnTcAg2
1.0
1.364 0.788 9.318
-1.364 0.788 9.318
0.000 -1.575 9.318
Mn Tc Ag
1 1 2
Direct
0.000 0.000 0.000
0.500 0.500 0.500
0.252 0.252 0.252
0.748 0.748 0.748
```

Stability, highest: w